Entry from Alexandria via LeMat-Bulk: a relaxed structure of BO3 (PBE).

Its density of states at the Fermi level is 4.10 states/eV/cell. Its uncorrected formation energy is -0.4487 eV per atom. Its space group is P3_2, No. 145. The value obtained for the size of the total moment is 3.0 μB per formula unit. The value obtained for the calculated volume is 328.2 Å³/cell. For the calculated density, the calculation gives 1.79 Mg/m³.

abc: 6.5280 6.5280 8.8918
angles: 90.00 90.00 120.00
With the nearest neighbours (Å) after each atom.
Fractional positions:
1 B 0.7148 0.1149 0.0333  3 O 1.35-1.39
2 B 0.3685 0.4476 0.0556  3 O 1.35-1.39
3 B 0.0791 0.6315 0.3890  3 O 1.35-1.39
4 B 0.8851 0.5998 0.6999  3 O 1.35-1.39
5 B 0.5524 0.9209 0.7223  3 O 1.35-1.39
6 B 0.4002 0.2852 0.3666  3 O 1.35-1.39
7 O 0.4864 0.0868 0.7584  1 B 1.39
8 O 0.6005 0.5136 0.0917  1 B 1.39
9 O 0.1968 0.2133 0.0830  1 B 1.39
10 O 0.9491 0.4280 0.6842  1 B 1.39
11 O 0.3131 0.6028 0.9939  1 B 1.35
12 O 0.1674 0.2236 0.3339  1 B 1.39
13 O 0.0165 0.8032 0.4163  1 B 1.39
14 O 0.2898 0.6869 0.3273  1 B 1.35
15 O 0.6662 0.5455 0.7451  1 B 1.35
16 O 0.7764 0.9438 0.0006  1 B 1.39
17 O 0.5720 0.5211 0.3509  1 B 1.39
18 O 0.3972 0.7102 0.6606  1 B 1.35
19 O 0.4545 0.1207 0.4118  1 B 1.35
20 O 0.8793 0.3338 0.0784  1 B 1.35
21 O 0.4789 0.0509 0.0176  1 B 1.39
22 O 0.7867 0.9835 0.7496  1 B 1.39
23 O 0.0562 0.8326 0.6672  1 B 1.39
24 O 0.9132 0.3995 0.4250  1 B 1.39